Record 1
Ba3Mg2PaO9: optimized geometry, PBE.

Lattice parameters (Å, degrees): 5.936 5.936 7.463 90.00 90.00 120.00
Each line ends with the local moment (μB).
Positions (direct):
Ba: 0.333 0.667 0.691  -0.01
Ba: 0.000 0.000 0.000  -0.01
Ba: 0.667 0.333 0.309  -0.01
Mg: 0.333 0.667 0.164  0.00
Mg: 0.667 0.333 0.836  0.00
Pa: 0.000 0.000 0.500  0.09
O: 0.833 0.167 0.670  0.19
O: 0.833 0.666 0.670  0.19
O: 0.334 0.167 0.670  0.19
O: 0.666 0.833 0.330  0.19
O: 0.167 0.334 0.330  0.19
O: 0.167 0.833 0.330  0.19
O: 0.500 0.000 0.000  0.46
O: 0.000 0.500 0.000  0.46
O: 0.500 0.500 0.000  0.46

Results
Volume = 15.2 Å³/atom
E = -6.775 eV/atom
Size of the total moment = 3.080 μB/f.u.
DOS at the Fermi energy = 9.4 states/eV per cell

Record 2
Ba3MgPa2O9: optimized geometry, PBE.

Lattice parameters (Å, degrees): 6.130 6.130 7.581 90.00 90.00 120.00
Positions (direct):
Ba: 0.333 0.667 0.649
Ba: 0.000 0.000 0.000
Ba: 0.667 0.333 0.351
Mg: 0.000 0.000 0.500
Pa: 0.333 0.667 0.179
Pa: 0.667 0.333 0.821
O: 0.834 0.166 0.664
O: 0.834 0.667 0.664
O: 0.333 0.166 0.664
O: 0.667 0.834 0.336
O: 0.166 0.333 0.336
O: 0.166 0.834 0.336
O: 0.500 0.000 0.000
O: 0.000 0.500 0.000
O: 0.500 0.500 0.000

Results
Volume = 16.4 Å³/atom
E = -7.943 eV/atom
Size of the total moment = 0.000 μB/f.u.
DOS at the Fermi energy = 0.0 states/eV per cell

Record 3
Ba2MgPaO6: optimized geometry, PBE.

Lattice parameters (Å, degrees): 4.329 4.329 8.599 90.00 90.00 90.00
Each line ends with the local moment (μB).
Positions (direct):
Ba: 0.000 0.000 0.714  0.00
Ba: 0.000 0.000 0.286  0.00
Mg: 0.500 0.500 0.500  0.00
Pa: 0.500 0.500 0.000  0.02
O: 0.500 0.000 0.000  0.02
O: 0.500 0.000 0.500  0.30
O: 0.000 0.500 0.000  0.02
O: 0.000 0.500 0.500  0.30
O: 0.500 0.500 0.752  0.10
O: 0.500 0.500 0.248  0.10

Results
Volume = 16.1 Å³/atom
E = -7.342 eV/atom
Size of the total moment = 1.021 μB/f.u.
DOS at the Fermi energy = 6.3 states/eV per cell

Record 4
Ba4MgPb3O12: optimized geometry, PBE.

Lattice parameters (Å, degrees): 7.471 7.471 7.471 109.47 109.47 109.47
Each line ends with the local moment (μB).
Positions (direct):
Ba: 0.500 0.500 0.500  -0.01
Ba: 0.000 0.000 0.500  -0.01
Ba: 0.500 0.000 0.000  -0.01
Ba: 0.000 0.500 0.000  -0.01
Mg: 0.000 0.000 0.000  0.00
Pb: 0.500 0.000 0.500  -0.01
Pb: 0.500 0.500 0.000  -0.01
Pb: 0.000 0.500 0.500  -0.01
O: 0.250 0.500 0.750  0.07
O: 0.753 0.000 0.753  0.24
O: 0.247 0.000 0.247  0.24
O: 0.750 0.500 0.250  0.07
O: 0.753 0.753 0.000  0.24
O: 0.247 0.247 0.000  0.24
O: 0.750 0.250 0.500  0.07
O: 0.250 0.750 0.500  0.07
O: 0.500 0.250 0.750  0.07
O: 0.000 0.753 0.753  0.24
O: 0.500 0.750 0.250  0.07
O: 0.000 0.247 0.247  0.24

Results
Volume = 16.0 Å³/atom
E = -5.709 eV/atom
Size of the total moment = 2.142 μB/f.u.
DOS at the Fermi energy = 13.0 states/eV per cell

Record 5
Ba2MgPbO5: optimized geometry, PBE.

Lattice parameters (Å, degrees): 3.582 7.638 11.564 90.00 90.00 103.56
Positions (direct):
Ba: 0.867 0.733 0.813
Ba: 0.097 0.194 0.679
Ba: 0.133 0.267 0.313
Ba: 0.903 0.806 0.179
Mg: 0.552 0.104 0.944
Mg: 0.448 0.896 0.444
Pb: 0.789 0.578 0.523
Pb: 0.211 0.422 0.023
O: 0.355 0.709 0.001
O: 0.687 0.375 0.899
O: 0.497 0.995 0.791
O: 0.283 0.567 0.651
O: 0.941 0.882 0.524
O: 0.645 0.291 0.501
O: 0.313 0.625 0.399
O: 0.503 0.005 0.291
O: 0.717 0.433 0.151
O: 0.059 0.118 0.024

Results
Volume = 17.1 Å³/atom
E = -5.812 eV/atom
Size of the total moment = 0.083 μB/f.u.

Record 6
BaPmMgO4: optimized geometry, PBE.

Lattice parameters (Å, degrees): 5.508 5.749 6.977 90.00 113.25 90.00
Each line ends with the local moment (μB).
Positions (direct):
Ba: 0.101 0.250 0.203  0.02
Ba: 0.899 0.750 0.797  0.02
Pm: 0.620 0.750 0.240  -0.02
Pm: 0.380 0.250 0.760  -0.02
Mg: 0.258 0.750 0.516  0.00
Mg: 0.742 0.250 0.484  0.00
O: 0.907 0.250 0.813  0.32
O: 0.438 0.750 0.877  0.08
O: 0.093 0.750 0.187  0.32
O: 0.562 0.250 0.123  0.08
O: 0.500 0.500 0.500  0.24
O: 0.000 0.000 0.500  0.24
O: 0.500 0.000 0.500  0.24
O: 0.000 0.500 0.500  0.24

Results
Volume = 14.5 Å³/atom
E = -6.541 eV/atom
Size of the total moment = 1.036 μB/f.u.
DOS at the Fermi energy = 8.9 states/eV per cell

Record 7
Ba3MgPt2O9: optimized geometry, PBE.

Lattice parameters (Å, degrees): 5.802 5.802 7.113 90.00 90.00 120.00
Each line ends with the local moment (μB).
Positions (direct):
Ba: 0.333 0.667 0.667  0.01
Ba: 0.000 0.000 0.000  0.01
Ba: 0.667 0.333 0.333  0.01
Mg: 0.000 0.000 0.500  0.00
Pt: 0.333 0.667 0.171  0.34
Pt: 0.667 0.333 0.829  0.34
O: 0.829 0.171 0.672  0.09
O: 0.829 0.657 0.672  0.09
O: 0.343 0.171 0.672  0.09
O: 0.657 0.829 0.328  0.09
O: 0.171 0.343 0.328  0.09
O: 0.171 0.829 0.328  0.09
O: 0.500 0.000 0.000  0.11
O: 0.000 0.500 0.000  0.11
O: 0.500 0.500 0.000  0.11

Results
Volume = 13.8 Å³/atom
E = -5.954 eV/atom
Size of the total moment = 1.796 μB/f.u.
DOS at the Fermi energy = 12.0 states/eV per cell

Record 8
BaPuMgO6: optimized geometry, PBE.

Lattice parameters (Å, degrees): 5.475 5.475 11.491 90.00 90.00 120.00
Positions (direct):
Ba: 0.000 0.000 0.000
Ba: 0.000 0.000 0.500
Pu: 0.667 0.333 0.250
Pu: 0.333 0.667 0.750
Mg: 0.333 0.667 0.250
Mg: 0.667 0.333 0.750
O: 0.628 0.610 0.153
O: 0.982 0.372 0.153
O: 0.372 0.982 0.653
O: 0.018 0.628 0.847
O: 0.390 0.372 0.347
O: 0.982 0.610 0.347
O: 0.610 0.982 0.847
O: 0.628 0.018 0.347
O: 0.018 0.390 0.653
O: 0.390 0.018 0.153
O: 0.610 0.628 0.653
O: 0.372 0.390 0.847

Results
Volume = 16.6 Å³/atom
E = -7.714 eV/atom
Size of the total moment = 0.000 μB/f.u.

Record 9
Ba3PuMg2O9: optimized geometry, PBE.

Lattice parameters (Å, degrees): 5.884 5.884 7.375 90.00 90.00 120.00
Each line ends with the local moment (μB).
Positions (direct):
Ba: 0.333 0.667 0.696  0.00
Ba: 0.000 0.000 0.000  0.00
Ba: 0.667 0.333 0.304  0.00
Pu: 0.000 0.000 0.500  1.39
Mg: 0.333 0.667 0.158  -0.01
Mg: 0.667 0.333 0.842  -0.01
O: 0.838 0.162 0.659  -0.05
O: 0.838 0.677 0.659  -0.05
O: 0.323 0.162 0.659  -0.05
O: 0.677 0.838 0.341  -0.05
O: 0.162 0.323 0.341  -0.05
O: 0.162 0.838 0.341  -0.05
O: 0.500 0.000 0.000  0.28
O: 0.000 0.500 0.000  0.28
O: 0.500 0.500 0.000  0.28

Results
Volume = 14.7 Å³/atom
E = -7.095 eV/atom
Size of the total moment = 2.043 μB/f.u.
DOS at the Fermi energy = 3.7 states/eV per cell

Record 10
Ba2Pu3MgO12: optimized geometry, PBE.

Lattice parameters (Å, degrees): 7.389 7.389 7.389 65.30 65.30 65.30
Each line ends with the local moment (μB).
Positions (direct):
Ba: 0.668 0.668 0.668  0.00
Ba: 0.332 0.332 0.332  0.00
Pu: 0.500 0.000 0.000  2.45
Pu: 0.000 0.500 0.000  2.45
Pu: 0.000 0.000 0.500  2.45
Mg: 0.000 0.000 0.000  0.00
O: 0.329 0.329 0.961  -0.11
O: 0.935 0.935 0.316  -0.11
O: 0.316 0.935 0.935  -0.11
O: 0.961 0.329 0.329  -0.11
O: 0.935 0.316 0.935  -0.11
O: 0.329 0.961 0.329  -0.11
O: 0.671 0.671 0.039  -0.11
O: 0.065 0.065 0.684  -0.11
O: 0.684 0.065 0.065  -0.11
O: 0.039 0.671 0.671  -0.11
O: 0.065 0.684 0.065  -0.11
O: 0.671 0.039 0.671  -0.11

Results
Volume = 17.7 Å³/atom
E = -8.633 eV/atom
Size of the total moment = 6.000 μB/f.u.
DOS at the Fermi energy = 5.6 states/eV per cell

Record 11
Ba3Pu2MgO9: optimized geometry, PBE.

Lattice parameters (Å, degrees): 6.034 6.034 7.456 90.00 90.00 120.00
Each line ends with the local moment (μB).
Positions (direct):
Ba: 0.333 0.667 0.651  0.01
Ba: 0.000 0.000 0.000  0.01
Ba: 0.667 0.333 0.349  0.01
Pu: 0.333 0.667 0.174  3.31
Pu: 0.667 0.333 0.826  3.31
Mg: 0.000 0.000 0.500  -0.01
O: 0.832 0.168 0.667  -0.07
O: 0.832 0.664 0.667  -0.07
O: 0.336 0.168 0.667  -0.07
O: 0.664 0.832 0.333  -0.07
O: 0.168 0.336 0.333  -0.07
O: 0.168 0.832 0.333  -0.07
O: 0.500 0.000 0.000  -0.10
O: 0.000 0.500 0.000  -0.10
O: 0.500 0.500 0.000  -0.10

Results
Volume = 15.7 Å³/atom
E = -8.237 eV/atom
Size of the total moment = 6.000 μB/f.u.
DOS at the Fermi energy = 9.3 states/eV per cell

Record 12
Ba2MgReO6: optimized geometry, PBE.

Lattice parameters (Å, degrees): 5.786 5.786 5.786 60.00 60.00 60.00
Each line ends with the local moment (μB).
Positions (direct):
Ba: 0.250 0.250 0.250  0.01
Ba: 0.750 0.750 0.750  0.01
Mg: 0.000 0.000 0.000  0.00
Re: 0.500 0.500 0.500  0.70
O: 0.739 0.261 0.739  0.02
O: 0.261 0.261 0.739  0.02
O: 0.739 0.739 0.261  0.02
O: 0.739 0.261 0.261  0.02
O: 0.261 0.739 0.261  0.02
O: 0.261 0.739 0.739  0.02

Results
Volume = 13.7 Å³/atom
E = -7.184 eV/atom
Size of the total moment = 0.979 μB/f.u.
DOS at the Fermi energy = 3.8 states/eV per cell

Record 13
BaMgRe2O8: optimized geometry, PBE.

Lattice parameters (Å, degrees): 5.794 5.794 7.302 90.00 90.00 120.00
Each line ends with the local moment (μB).
Positions (direct):
Ba: 0.000 0.000 0.000  0.01
Mg: 0.000 0.000 0.500  0.00
Re: 0.667 0.333 0.251  0.65
Re: 0.333 0.667 0.749  0.65
O: 0.333 0.667 0.995  0.08
O: 0.321 0.162 0.320  0.05
O: 0.838 0.159 0.320  0.05
O: 0.667 0.333 0.005  0.08
O: 0.162 0.841 0.680  0.05
O: 0.679 0.838 0.680  0.05
O: 0.159 0.321 0.680  0.05
O: 0.841 0.679 0.320  0.05

Results
Volume = 17.7 Å³/atom
E = -7.636 eV/atom
Size of the total moment = 2.010 μB/f.u.
DOS at the Fermi energy = 9.5 states/eV per cell

Record 14
Ba4MgRh4O12: optimized geometry, PBE.

Lattice parameters (Å, degrees): 5.766 5.766 10.839 90.00 90.00 120.00
Each line ends with the local moment (μB).
Positions (direct):
Ba: 0.667 0.333 0.734  0.00
Ba: 0.333 0.667 0.332  0.00
Ba: 0.000 0.000 0.537  0.00
Ba: 0.000 0.000 0.957  0.00
Mg: 0.333 0.667 0.083  0.00
Rh: 0.333 0.667 0.861  0.11
Rh: 0.667 0.333 0.378  0.32
Rh: 0.667 0.333 0.116  0.28
Rh: 0.333 0.667 0.610  0.27
O: 0.181 0.363 0.738  0.02
O: 0.812 0.188 0.248  0.06
O: 0.376 0.188 0.248  0.06
O: 0.637 0.819 0.738  0.02
O: 0.181 0.819 0.738  0.02
O: 0.812 0.624 0.248  0.06
O: 0.507 0.013 0.508  0.06
O: 0.498 0.502 0.993  0.03
O: 0.498 0.997 0.993  0.03
O: 0.507 0.493 0.508  0.06
O: 0.987 0.493 0.508  0.06
O: 0.003 0.502 0.993  0.03

Results
Volume = 14.9 Å³/atom
E = -6.166 eV/atom
Size of the total moment = 1.598 μB/f.u.
DOS at the Fermi energy = 16.1 states/eV per cell
Polymorph energy (0 for the lowest one) = 0.1323 eV per atom

Record 15
Ba2MgRhO5: optimized geometry, PBE.

Lattice parameters (Å, degrees): 3.454 7.662 10.859 90.00 90.00 103.02
Each line ends with the local moment (μB).
Positions (direct):
Ba: 0.871 0.742 0.800  0.01
Ba: 0.109 0.217 0.682  0.01
Ba: 0.129 0.258 0.300  0.01
Ba: 0.891 0.783 0.182  0.01
Mg: 0.564 0.127 0.957  0.00
Mg: 0.436 0.873 0.457  0.00
Rh: 0.786 0.572 0.517  0.57
Rh: 0.214 0.428 0.017  0.57
O: 0.346 0.693 0.997  0.17
O: 0.697 0.393 0.902  0.04
O: 0.505 0.011 0.797  0.03
O: 0.282 0.564 0.630  0.10
O: 0.928 0.856 0.541  0.03
O: 0.654 0.307 0.497  0.17
O: 0.303 0.607 0.402  0.04
O: 0.495 0.989 0.297  0.03
O: 0.718 0.436 0.130  0.10
O: 0.072 0.144 0.041  0.03

Results
Volume = 15.6 Å³/atom
E = -6.121 eV/atom
Size of the total moment = 1.043 μB/f.u.
DOS at the Fermi energy = 8.6 states/eV per cell

Record 16
Ba4MgRh4O12: optimized geometry, PBE.

Lattice parameters (Å, degrees): 6.062 6.062 10.213 82.02 82.02 56.23
Each line ends with the local moment (μB).
Positions (direct):
Ba: 0.409 0.409 0.284  0.00
Ba: 0.663 0.663 0.741  0.01
Ba: 0.031 0.031 0.517  0.00
Ba: 0.947 0.947 0.947  0.00
Mg: 0.183 0.183 0.137  0.00
Rh: 0.677 0.677 0.122  0.09
Rh: 0.348 0.348 0.611  0.54
Rh: 0.279 0.279 0.879  0.31
Rh: 0.710 0.710 0.390  0.35
O: 0.880 0.387 0.275  0.01
O: 0.617 0.155 0.753  0.03
O: 0.174 0.174 0.721  0.06
O: 0.834 0.834 0.215  0.03
O: 0.387 0.880 0.275  0.01
O: 0.155 0.617 0.753  0.03
O: 0.576 0.049 0.486  0.12
O: 0.921 0.402 0.989  0.01
O: 0.402 0.921 0.989  0.01
O: 0.049 0.576 0.486  0.12
O: 0.547 0.547 0.532  0.09
O: 0.370 0.370 0.037  0.07

Results
Volume = 14.7 Å³/atom
E = -6.298 eV/atom
Size of the total moment = 2.067 μB/f.u.
DOS at the Fermi energy = 13.4 states/eV per cell
Polymorph energy (0 for the lowest one) = 0.0000 eV per atom

Record 17
Ba4MgRh4O12: optimized geometry, PBE.

Lattice parameters (Å, degrees): 6.099 6.099 10.302 88.36 88.36 57.10
Each line ends with the local moment (μB).
Positions (direct):
Ba: 0.670 0.670 0.267  0.01
Ba: 0.271 0.271 0.713  0.00
Ba: 0.979 0.979 0.507  0.01
Ba: 0.023 0.023 0.077  0.00
Mg: 0.552 0.552 0.846  0.00
Rh: 0.337 0.337 0.117  0.12
Rh: 0.648 0.648 0.599  0.51
Rh: 0.781 0.781 0.909  0.00
Rh: 0.329 0.329 0.385  0.62
O: 0.627 0.171 0.251  0.04
O: 0.799 0.799 0.725  0.01
O: 0.794 0.325 0.710  0.03
O: 0.171 0.627 0.251  0.04
O: 0.185 0.185 0.261  0.03
O: 0.325 0.794 0.710  0.03
O: 0.004 0.507 0.498  0.17
O: 0.500 0.500 0.023  0.01
O: 0.018 0.477 0.005  0.00
O: 0.508 0.508 0.467  0.10
O: 0.507 0.004 0.498  0.17
O: 0.477 0.018 0.005  0.00

Results
Volume = 15.3 Å³/atom
E = -6.257 eV/atom
Size of the total moment = 2.078 μB/f.u.
DOS at the Fermi energy = 8.9 states/eV per cell
Polymorph energy (0 for the lowest one) = 0.0410 eV per atom